Record 1
A geometry-optimized TaMnNbO6 structure. Source: the Alexandria database, functional GGA+U.

## Properties
DOS(E_F) (states/eV/f.u.): 0.00
ΔE to the lowest computed polymorph (meV/atom): 26
Crystal system: tetragonal
Symmetry: P4_2nm, No. 102

a b c (Å): 4.846 4.846 9.403
angles (deg): 90.00 90.00 90.00
Last column: magnetic moment on the atom in μB.
Fractional positions:
1 Ta 0.500 0.500 0.833  0.04
2 Nb 0.000 0.000 0.668  0.08
3 O 0.685 0.685 0.999  0.01
4 Ta 0.000 0.000 0.333  0.04
5 O 0.815 0.185 0.499  0.01
6 O 0.294 0.294 0.682  0.01
7 O 0.706 0.706 0.682  0.01
8 O 0.315 0.315 0.999  0.01
9 O 0.792 0.208 0.819  0.01
10 O 0.208 0.792 0.819  0.01
11 Mn 0.000 0.000 0.000  4.61
12 O 0.185 0.815 0.499  0.01
13 O 0.708 0.708 0.319  0.01
14 O 0.794 0.206 0.182  0.01
15 Nb 0.500 0.500 0.168  0.08
16 O 0.206 0.794 0.182  0.01
17 O 0.292 0.292 0.319  0.01
18 Mn 0.500 0.500 0.500  4.61

Record 2
A geometry-optimized ThMnNbO6 structure. Source: the Alexandria database, functional GGA+U.

## Properties
Crystal system: tetragonal
Symmetry: P4_2nm, No. 102
Final energy (eV per atom): -8.69

a b c (Å): 5.002 5.002 9.799
angles (deg): 90.00 90.00 90.00
Last column: magnetic moment on the atom in μB.
Fractional positions:
1 O 0.826 0.174 0.162  -0.05
2 Mn 0.500 0.500 0.505  3.94
3 O 0.809 0.191 0.477  0.02
4 O 0.705 0.705 0.352  -0.03
5 O 0.795 0.205 0.852  -0.03
6 O 0.191 0.809 0.477  0.02
7 Nb 0.000 0.000 0.339  0.07
8 O 0.295 0.295 0.352  -0.03
9 O 0.174 0.826 0.162  -0.05
10 O 0.205 0.795 0.852  -0.03
11 Nb 0.500 0.500 0.839  0.07
12 O 0.674 0.674 0.662  -0.05
13 O 0.691 0.691 0.977  0.02
14 Mn 0.000 0.000 0.005  3.94
15 Th 0.000 0.000 0.673  0.01
16 Th 0.500 0.500 0.173  0.01
17 O 0.309 0.309 0.977  0.02
18 O 0.326 0.326 0.662  -0.05

Record 3
A geometry-optimized Ti2MnNbO8 structure. Source: the Alexandria database, functional GGA+U.

## Properties
Crystal system: monoclinic
Symmetry: P2/m, No. 10
Final energy (eV per atom): -8.64

a b c (Å): 4.750 4.744 5.986
angles (deg): 90.00 90.00 89.18
Last column: magnetic moment on the atom in μB.
Fractional positions:
1 O 0.317 0.315 0.500  0.02
2 O 0.694 0.695 0.000  0.00
3 O 0.804 0.197 0.251  -0.03
4 O 0.306 0.305 0.000  0.00
5 O 0.683 0.685 0.500  0.02
6 Mn 0.000 0.000 0.500  3.85
7 Nb 0.000 0.000 0.000  0.05
8 O 0.804 0.197 0.749  -0.03
9 Ti 0.500 0.500 0.260  0.05
10 O 0.196 0.803 0.749  -0.03
11 Ti 0.500 0.500 0.740  0.05
12 O 0.196 0.803 0.251  -0.03

Record 4
A geometry-optimized Mn2NbTl3O9 structure. Source: the Alexandria database, functional GGA+U.

## Properties
DOS(E_F) (states/eV/f.u.): 6.47
Crystal system: trigonal
Symmetry: P-3m1, No. 164
Final energy (eV per atom): -6.33

a b c (Å): 5.615 5.615 6.921
angles (deg): 90.00 90.00 120.00
Last column: magnetic moment on the atom in μB.
Fractional positions:
1 O 0.000 0.500 0.000  -0.16
2 O 0.500 0.000 0.000  -0.16
3 Mn 0.667 0.333 0.834  3.62
4 Tl 0.000 0.000 0.000  -0.09
5 O 0.832 0.168 0.670  -0.06
6 O 0.665 0.832 0.330  -0.06
7 Nb 0.000 0.000 0.500  0.02
8 O 0.832 0.665 0.670  -0.06
9 Tl 0.333 0.667 0.696  -0.05
10 Mn 0.333 0.667 0.166  3.62
11 O 0.168 0.832 0.330  -0.06
12 O 0.500 0.500 0.000  -0.16
13 Tl 0.667 0.333 0.304  -0.05
14 O 0.168 0.335 0.330  -0.06
15 O 0.335 0.168 0.670  -0.06

Record 5
A geometry-optimized Mn2NbTl2O6 structure. Source: the Alexandria database, functional GGA+U.

## Properties
DOS(E_F) (states/eV/f.u.): 1.17
Crystal system: monoclinic
Symmetry: C2/m, No. 12
Final energy (eV per atom): -6.73

a b c (Å): 5.197 5.197 8.164
angles (deg): 102.95 102.95 119.13
Last column: magnetic moment on the atom in μB.
Fractional positions:
1 O 0.091 0.431 0.639  -0.04
2 O 0.431 0.091 0.639  -0.04
3 Nb 0.000 0.000 0.500  0.00
4 O 0.569 0.909 0.361  -0.04
5 Mn 0.666 0.334 0.500  2.07
6 O 0.909 0.569 0.361  -0.04
7 O 0.238 0.238 0.359  -0.03
8 O 0.762 0.762 0.641  -0.03
9 Mn 0.334 0.666 0.500  2.07
10 Tl 0.171 0.829 0.000  0.00
11 Tl 0.829 0.171 0.000  0.00

Record 6
A geometry-optimized MnNbTlO4 structure. Source: the Alexandria database, functional GGA+U.

## Properties
DOS(E_F) (states/eV/f.u.): 0.00
Crystal system: monoclinic
Symmetry: P2_1/m, No. 11
Final energy (eV per atom): -7.58

a b c (Å): 5.888 6.060 8.305
angles (deg): 90.00 83.55 90.00
Last column: magnetic moment on the atom in μB.
Fractional positions:
1 O 0.168 0.511 0.359  0.04
2 Mn 0.882 0.750 0.476  4.61
3 Tl 0.198 0.250 0.040  0.00
4 O 0.350 0.750 0.046  0.01
5 Nb 0.652 0.250 0.731  0.06
6 O 0.650 0.250 0.954  0.01
7 Mn 0.118 0.250 0.524  4.61
8 O 0.347 0.250 0.689  0.01
9 O 0.653 0.750 0.311  0.01
10 Nb 0.348 0.750 0.269  0.06
11 O 0.832 0.489 0.641  0.04
12 O 0.168 0.989 0.359  0.04
13 Tl 0.802 0.750 0.960  0.00
14 O 0.832 0.011 0.641  0.04

Record 7
A geometry-optimized UMn2NbO8 structure. Source: the Alexandria database, functional GGA+U.

## Properties
DOS(E_F) (states/eV/f.u.): 1.36
Crystal system: orthorhombic
Symmetry: Cmmm, No. 65
Final energy (eV per atom): -8.70

a b c (Å): 4.871 4.871 6.474
angles (deg): 90.00 90.00 93.49
Last column: magnetic moment on the atom in μB.
Fractional positions:
1 U 0.000 0.000 0.500  0.22
2 O 0.817 0.183 0.242  0.00
3 Nb 0.000 0.000 0.000  0.14
4 O 0.701 0.701 0.000  -0.09
5 O 0.693 0.693 0.500  -0.06
6 O 0.183 0.817 0.242  0.00
7 O 0.817 0.183 0.758  0.00
8 Mn 0.500 0.500 0.240  4.33
9 Mn 0.500 0.500 0.760  4.33
10 O 0.307 0.307 0.500  -0.06
11 O 0.183 0.817 0.758  0.00
12 O 0.299 0.299 0.000  -0.09

Record 8
A geometry-optimized MnNbVO6 structure. Source: the Alexandria database, functional GGA+U.

## Properties
Crystal system: trigonal
Symmetry: P-31c, No. 163
Final energy (eV per atom): -8.14

a b c (Å): 5.114 5.114 9.315
angles (deg): 90.00 90.00 120.00
Last column: magnetic moment on the atom in μB.
Fractional positions:
1 V 0.333 0.667 0.250  0.20
2 O 0.364 0.016 0.636  -0.01
3 O 0.349 0.364 0.364  -0.01
4 O 0.636 0.651 0.136  -0.01
5 Nb 0.333 0.667 0.750  0.07
6 Mn 0.000 0.000 0.500  4.60
7 O 0.984 0.349 0.636  -0.01
8 Mn 0.000 0.000 0.000  4.60
9 O 0.349 0.984 0.136  -0.01
10 O 0.016 0.364 0.136  -0.01
11 O 0.364 0.349 0.864  -0.01
12 V 0.667 0.333 0.750  0.20
13 O 0.651 0.016 0.864  -0.01
14 O 0.016 0.651 0.364  -0.01
15 O 0.984 0.636 0.864  -0.01
16 O 0.636 0.984 0.364  -0.01
17 O 0.651 0.636 0.636  -0.01
18 Nb 0.667 0.333 0.250  0.07

Record 9
A geometry-optimized MnNbV2O8 structure. Source: the Alexandria database, functional GGA+U.

## Properties
DOS(E_F) (states/eV/f.u.): 0.42
Crystal system: orthorhombic
Symmetry: Cmmm, No. 65
Final energy (eV per atom): -8.02

a b c (Å): 4.726 4.731 5.933
angles (deg): 90.00 90.00 88.74
Last column: magnetic moment on the atom in μB.
Fractional positions:
1 O 0.200 0.801 0.252  -0.05
2 Nb 0.000 0.000 0.000  0.08
3 Mn 0.000 0.000 0.500  3.86
4 O 0.304 0.305 0.000  -0.02
5 O 0.313 0.314 0.500  -0.01
6 V 0.500 0.500 0.739  1.07
7 O 0.800 0.199 0.748  -0.05
8 O 0.696 0.695 0.000  -0.02
9 O 0.687 0.686 0.500  -0.01
10 O 0.800 0.199 0.252  -0.05
11 V 0.500 0.500 0.261  1.07
12 O 0.200 0.801 0.748  -0.05